This record from Alexandria via LeMat-Bulk describes crystalline BeInPt2 at its relaxed geometry. The functional is GGA-PBEsol.

Properties
Calculated formation energy: -110 kJ/mol of formula units
Size of the total moment: 0.000 μB per atom

a = 3.7685 Å, b = 3.7685 Å, c = 8.3691 Å
α = 90.00°, β = 90.00°, γ = 90.00°
Space group I-4m2 (No. 119)
Symmetry-distinct sites (fractional):
1 Be 0.0000 0.0000 0.0000 (multiplicity 2)
2 In 0.0000 0.5000 0.2500 (multiplicity 2)
3 Pt 0.0000 0.0000 0.5000 (multiplicity 2)
4 Pt 0.0000 0.5000 0.7500 (multiplicity 2)

=====

This record from Alexandria via LeMat-Bulk describes crystalline BeIn2Pt at its relaxed geometry. The functional is GGA-PBEsol.

Properties
Calculated formation energy: 21 kJ/mol of formula units
Size of the total moment: 0.000 μB per atom

a = 8.4714 Å, b = 3.9905 Å, c = 4.3141 Å
α = 90.00°, β = 110.44°, γ = 90.00°
Space group C2/m (No. 12)
Symmetry-distinct sites (fractional):
1 Be 0.0000 0.0000 0.0000 (multiplicity 2)
2 In 0.2477 0.0000 0.7552 (multiplicity 4)
3 Pt 0.0000 0.5000 0.5000 (multiplicity 2)

=====

This record from Alexandria via LeMat-Bulk describes crystalline BeIn2Pt at its relaxed geometry. The functional is GGA-PBEsol.

Properties
Calculated formation energy: 27 kJ/mol of formula units
Size of the total moment: 0.000 μB per atom

a = 4.1394 Å, b = 4.1394 Å, c = 3.9062 Å
α = 90.00°, β = 90.00°, γ = 90.00°
Space group P4/mmm (No. 123)
Symmetry-distinct sites (fractional):
1 Be 0.0000 0.0000 0.0000 (multiplicity 1)
2 In 0.0000 0.5000 0.5000 (multiplicity 2)
3 Pt 0.5000 0.5000 0.0000 (multiplicity 1)

=====

This record from Alexandria via LeMat-Bulk describes crystalline RbBe3In at its relaxed geometry. The functional is GGA-PBEsol.

Properties
Calculated formation energy: 502 kJ/mol of formula units
Size of the total moment: 0.000 μB per atom

a = 4.7840 Å, b = 4.7840 Å, c = 4.7840 Å
α = 90.00°, β = 90.00°, γ = 90.00°
Space group Pm-3m (No. 221)
Symmetry-distinct sites (fractional):
1 Rb 0.0000 0.0000 0.0000 (multiplicity 1)
2 Be 0.0000 0.5000 0.5000 (multiplicity 3)
3 In 0.5000 0.5000 0.5000 (multiplicity 1)

=====

Number 1: calculated total energy -5.51 eV/atom. Number 2: calculated total energy -4.18 eV/atom. Number 3: calculated total energy -4.16 eV/atom. Number 4: calculated total energy -2.16 eV/atom.